KRbIBr: relaxed, GGA-PBE.

Output
Formation energy from raw total energies in meV/atom: -1542
N(E_F) in states/eV per cell: 0.00

a b c (Å): 8.554 8.554 8.554
angles (deg): 90.00 90.00 90.00
Space group F-43m (No. 216)
Unique sites:
K1 0.000 0.000 0.000
Rb1 0.000 0.000 0.500
I1 0.250 0.250 0.750
Br1 0.250 0.250 0.250

LiBeHg2: relaxed, GGA-PBE.

Output
VASP energy in eV/atom: -1.293
N(E_F) in states/eV per cell: 6.63

a b c (Å): 4.465 4.465 16.712
angles (deg): 90.00 90.00 90.00
Space group I-42d (No. 122)
Unique sites:
Li1 0.000 0.000 0.000
Be1 0.000 0.000 0.500
Hg1 0.221 0.250 0.625